# MgNbAg2B

Crystalline MgNbAg2B at its relaxed geometry (PBE-GGA, Alexandria).

Values from the calculation:
- DFT total energy (eV/f.u.) = -22.70
- N(E_F) (states/eV/f.u.) = 3.0
- symmetry = P4/mmm (123)

Lattice parameters (Å, degrees): 4.3751 4.4143 4.3751 90.00 90.00 90.00
Closest atoms and distances in Å follow each position.
Fractional positions:
Nb 0.0000 0.5000 0.0000  2 B 2.21
B 0.0000 0.0000 0.0000  4 Ag 2.19, 2 Nb 2.21
Mg 0.5000 0.5000 0.5000  4 Nb 3.09, 8 Ag 3.11
Ag 0.0000 0.0000 0.5000  2 B 2.19
Ag 0.5000 0.0000 0.0000  2 B 2.19

# YCdSn4

Crystalline YCdSn4 at its relaxed geometry (PBE-GGA, Alexandria).

Values from the calculation:
- DFT total energy (eV/f.u.) = -24.11
- N(E_F) (states/eV/f.u.) = 2.8
- symmetry = F-43m (216)

Lattice parameters (Å, degrees): 6.1702 6.1702 6.1702 60.00 60.00 60.00
Closest atoms and distances in Å follow each position.
Fractional positions:
Y 0.0000 0.0000 0.0000  12 Sn 3.62, 4 Cd 3.78
Sn 0.6251 0.6251 0.1246  6 Sn 3.08-3.09
Sn 0.6251 0.1246 0.6251  6 Sn 3.08-3.09
Sn 0.6251 0.6251 0.6251  6 Sn 3.08-3.09
Sn 0.1246 0.6251 0.6251  6 Sn 3.08-3.09
Cd 0.2500 0.2500 0.2500  12 Sn 3.62, 4 Y 3.78

# Gd2MgIr

Crystalline Gd2MgIr at its relaxed geometry (PBE-GGA, Alexandria).

Values from the calculation:
- DFT total energy (eV/f.u.) = -40.07
- N(E_F) (states/eV/f.u.) = 3.0
- symmetry = R-3m (166)
- ΔE to the lowest computed polymorph (meV per atom) = 98

Lattice parameters (Å, degrees): 4.0104 4.0104 8.7130 76.69 76.69 60.00
Closest atoms and distances in Å follow each position.
Fractional positions:
Gd 0.2722 0.2722 0.1834  3 Ir 2.78
Gd 0.7278 0.7278 0.8166  3 Ir 2.78
Mg 0.5000 0.5000 0.5000  6 Gd 3.53
Ir 0.0000 0.0000 0.0000  6 Gd 2.78